1.
# HfCuSiNi

HfCuSiNi after structural relaxation (PBE, OQMD via LeMat-Bulk).

The structure belongs to space group F-43m (No. 216); the cell edges are 6.091, 6.091 and 6.091 Å and the angles 90.00°, 90.00° and 90.00°. The asymmetric unit holds Hf at (0.000, 0.000, 0.000), Cu at (0.000, 0.000, 0.500), Si at (0.250, 0.250, 0.250) and Ni at (0.250, 0.250, 0.750).

As for the raw total energy: -6.45 eV/atom. The offset from the most stable computed form is 0.1104 eV per atom. As for the crystal system: cubic.

2.
# Pr2Sc2GeBi

Pr2Sc2GeBi after structural relaxation (PBE, OQMD via LeMat-Bulk).

The structure belongs to space group I4mm (No. 107); the cell edges are 4.460, 4.460 and 16.466 Å and the angles 90.00°, 90.00° and 90.00°. The asymmetric unit holds Pr at (0.000, 0.000, 0.000), Pr at (0.000, 0.000, 0.355), Sc at (0.000, 0.500, 0.195), Ge at (0.000, 0.000, 0.806) and Bi at (0.000, 0.000, 0.559).

As for the raw total energy: -5.84 eV/atom. As for the crystal system: tetragonal.